This record from Alexandria describes an optimized crystal structure of LaIrCl2. The functional is GGA-PBE.

Unit cell a=4.942 b=4.942 c=4.942 alpha=60.00 beta=60.00 gamma=60.00
Last column: magnetic moment on the atom in μB.
Atoms (fractional coordinates):
Cl  0.250  0.250  0.250  0.12
Cl  0.750  0.750  0.750  0.12
Ir  0.500  0.500  0.500  1.29
La  0.000  0.000  0.000  0.07

Computed properties:
SG: No. 225
Polymorph energy (0 for the lowest one) in meV/atom: 528
Magnetic moment in μB/atom: 0.46

This record from Alexandria describes an optimized crystal structure of Bi19S27Br3. The functional is GGA-PBE.

Unit cell a=12.138 b=16.155 c=16.155 alpha=113.95 beta=104.50 gamma=104.50
Atoms (fractional coordinates):
Bi  0.121  0.486  0.611
Bi  0.777  0.481  0.608
Bi  0.444  0.485  0.610
Bi  0.169  0.392  0.873
Bi  0.833  0.390  0.875
Bi  0.510  0.389  0.876
Bi  0.959  0.125  0.515
Bi  0.634  0.124  0.514
Bi  0.296  0.127  0.519
Bi  0.544  0.513  0.389
Bi  0.221  0.515  0.389
Bi  0.888  0.519  0.392
Bi  0.496  0.608  0.127
Bi  0.155  0.611  0.124
Bi  0.832  0.611  0.125
Bi  0.706  0.875  0.485
Bi  0.369  0.873  0.481
Bi  0.031  0.876  0.487
Bi  0.832  0.000  0.000
Bi  0.332  0.000  0.000
Bi  0.064  0.751  0.703
Bi  0.410  0.775  0.711
Bi  0.738  0.753  0.704
Bi  0.699  0.289  0.064
Bi  0.034  0.296  0.049
Bi  0.360  0.297  0.047
Bi  0.985  0.951  0.247
Bi  0.313  0.953  0.249
Bi  0.635  0.936  0.225
Bi  0.255  0.226  0.289
Bi  0.601  0.249  0.296
Bi  0.926  0.247  0.296
Bi  0.631  0.704  0.951
Bi  0.966  0.711  0.936
Bi  0.304  0.704  0.953
Bi  0.352  0.047  0.751
Bi  0.679  0.049  0.753
Bi  0.029  0.064  0.774
S  0.364  0.606  0.736
S  0.026  0.599  0.737
S  0.694  0.599  0.736
S  0.289  0.263  0.861
S  0.958  0.264  0.863
S  0.627  0.264  0.869
S  0.095  0.137  0.401
S  0.758  0.131  0.394
S  0.428  0.139  0.401
S  0.301  0.394  0.263
S  0.970  0.401  0.263
S  0.638  0.401  0.262
S  0.376  0.738  0.139
S  0.037  0.737  0.131
S  0.707  0.737  0.138
S  0.569  0.862  0.599
S  0.237  0.861  0.599
S  0.906  0.869  0.606
S  0.468  0.611  0.546
S  0.135  0.613  0.547
S  0.802  0.611  0.548
S  0.254  0.452  0.063
S  0.923  0.454  0.066
S  0.588  0.453  0.066
S  0.523  0.934  0.387
S  0.191  0.937  0.389
S  0.857  0.934  0.389
S  0.196  0.388  0.454
S  0.863  0.389  0.452
S  0.529  0.387  0.452
S  0.411  0.548  0.937
S  0.076  0.548  0.934
S  0.742  0.546  0.935
S  0.142  0.066  0.613
S  0.808  0.065  0.612
S  0.474  0.063  0.611
S  0.298  0.815  0.838
S  0.967  0.818  0.836
S  0.635  0.815  0.837
S  0.131  0.164  0.982
S  0.797  0.163  0.978
S  0.461  0.162  0.978
S  0.819  0.022  0.185
S  0.483  0.022  0.185
S  0.149  0.018  0.182
S  0.366  0.185  0.162
S  0.030  0.184  0.162
S  0.698  0.182  0.164
S  0.534  0.836  0.018
S  0.204  0.838  0.022
S  0.867  0.838  0.022
S  0.845  0.978  0.816
S  0.516  0.982  0.818
S  0.181  0.978  0.815
Br  0.415  0.665  0.334
Br  0.081  0.666  0.331
Br  0.749  0.669  0.335
Br  0.247  0.335  0.666
Br  0.912  0.331  0.665
Br  0.581  0.334  0.669

Computed properties:
SG: No. 146
Magnetic moment in μB/atom: 0.00
Raw total energy in eV per atom: -4.256

This record from Alexandria describes an optimized crystal structure of GaCu3Te4. The functional is GGA-PBE.

Unit cell a=7.078 b=7.253 c=8.347 alpha=90.00 beta=90.00 gamma=90.00
Atoms (fractional coordinates):
Ga  0.000  0.164  0.000
Ga  0.500  0.836  0.500
Cu  0.497  0.834  0.000
Cu  0.996  0.667  0.251
Cu  0.496  0.333  0.249
Cu  0.997  0.166  0.500
Cu  0.496  0.333  0.751
Cu  0.996  0.667  0.749
Te  0.136  0.819  0.000
Te  0.621  0.165  0.000
Te  0.135  0.338  0.257
Te  0.635  0.662  0.243
Te  0.121  0.835  0.500
Te  0.636  0.181  0.500
Te  0.635  0.662  0.757
Te  0.135  0.338  0.743

Computed properties:
SG: No. 31
Polymorph energy (0 for the lowest one) in meV/atom: 0
Magnetic moment in μB/atom: 0.00

This record from Alexandria describes an optimized crystal structure of CdTePbN2. The functional is GGA-PBE.

Unit cell a=4.550 b=4.550 c=6.004 alpha=90.00 beta=90.00 gamma=90.00
Last column: magnetic moment on the atom in μB.
Atoms (fractional coordinates):
Pb  0.500  0.500  0.500  -0.05
N  0.000  0.500  0.000  1.23
N  0.500  0.000  0.000  1.23
Te  0.000  0.000  0.500  0.18
Cd  0.000  0.000  0.000  0.05

Computed properties:
SG: No. 123
Polymorph energy (0 for the lowest one) in meV/atom: 0
Magnetic moment in μB/atom: 0.77

This record from Alexandria describes an optimized crystal structure of ScTl2. The functional is GGA-PBE.

Unit cell a=6.158 b=6.158 c=9.747 alpha=90.00 beta=90.00 gamma=120.00
Last column: magnetic moment on the atom in μB.
Atoms (fractional coordinates):
Sc  0.333  0.667  0.081  0.10
Sc  0.667  0.333  0.581  0.10
Sc  0.667  0.333  0.919  0.10
Sc  0.333  0.667  0.419  0.10
Tl  0.000  0.000  0.000  0.00
Tl  0.000  0.000  0.500  0.00
Tl  0.826  0.653  0.250  0.00
Tl  0.174  0.347  0.750  0.00
Tl  0.347  0.174  0.250  0.00
Tl  0.826  0.174  0.250  0.00
Tl  0.174  0.826  0.750  0.00
Tl  0.653  0.826  0.750  0.00

Computed properties:
SG: No. 194
Magnetic moment in μB/atom: 0.05
E_form in kJ/mol of formula units: 50

This record from Alexandria describes an optimized crystal structure of Mg3PaRh4. The functional is GGA-PBE.

Unit cell a=4.523 b=4.523 c=7.261 alpha=108.31 beta=108.15 gamma=90.00
Atoms (fractional coordinates):
Mg  0.000  0.500  0.000
Mg  0.756  0.255  0.512
Mg  0.244  0.745  0.488
Pa  0.500  0.000  0.000
Rh  0.374  0.375  0.748
Rh  0.626  0.625  0.252
Rh  0.126  0.126  0.252
Rh  0.874  0.874  0.748

Computed properties:
SG: No. 12
Magnetic moment in μB/atom: 0.00
E_form in kJ/mol of formula units: -553

This record from Alexandria describes an optimized crystal structure of AlCu7O12. The functional is GGA-PBE.

Unit cell a=6.273 b=6.273 c=6.273 alpha=109.47 beta=109.47 gamma=109.47
Atoms (fractional coordinates):
Al  0.000  0.000  0.000
Cu  0.000  0.500  0.000
Cu  0.500  0.000  0.000
Cu  0.000  0.000  0.500
Cu  0.500  0.500  0.500
Cu  0.500  0.500  0.000
Cu  0.000  0.500  0.500
Cu  0.500  0.000  0.500
O  0.134  0.834  0.300
O  0.866  0.166  0.700
O  0.534  0.834  0.700
O  0.166  0.300  0.466
O  0.300  0.466  0.166
O  0.300  0.134  0.834
O  0.166  0.700  0.866
O  0.700  0.534  0.834
O  0.466  0.166  0.300
O  0.834  0.700  0.534
O  0.700  0.866  0.166
O  0.834  0.300  0.134

Computed properties:
SG: No. 204
Magnetic moment in μB/atom: 0.00
Raw total energy in eV per atom: -5.121

This record from Alexandria describes an optimized crystal structure of SmTmNiRu. The functional is GGA-PBE.

Unit cell a=3.404 b=3.404 c=6.819 alpha=90.00 beta=90.00 gamma=90.00
Atoms (fractional coordinates):
Sm  0.000  0.000  0.860
Tm  0.000  0.000  0.357
Ni  0.500  0.500  0.592
Ru  0.500  0.500  0.119

Computed properties:
SG: No. 99
Polymorph energy (0 for the lowest one) in meV/atom: 0
Magnetic moment in μB/atom: 0.00
E_form in kJ/mol of formula units: -145

This record from Alexandria describes an optimized crystal structure of Mn2Tc. The functional is GGA-PBE.

Unit cell a=2.603 b=2.603 c=6.270 alpha=90.00 beta=90.00 gamma=120.00
Atoms (fractional coordinates):
Mn  0.000  0.000  0.985
Mn  0.333  0.667  0.682
Tc  0.667  0.333  0.333

Computed properties:
SG: No. 164
Polymorph energy (0 for the lowest one) in meV/atom: 264
Magnetic moment in μB/atom: 0.00
E_form in kJ/mol of formula units: 53

This record from Alexandria describes an optimized crystal structure of Pm2Er3In. The functional is GGA-PBE.

Unit cell a=4.905 b=4.868 c=7.940 alpha=107.85 beta=90.00 gamma=90.00
Atoms (fractional coordinates):
Pm  0.000  0.662  0.324
Pm  0.000  0.338  0.676
Er  0.500  0.165  0.330
Er  0.500  0.500  0.000
Er  0.500  0.835  0.670
In  0.000  0.000  0.000

Computed properties:
SG: No. 65
Polymorph energy (0 for the lowest one) in meV/atom: 0
Magnetic moment in μB/atom: 0.00
E_form in kJ/mol of formula units: -87

This record from Alexandria describes an optimized crystal structure of LaTlSb2Cl. The functional is GGA-PBE.

Unit cell a=5.617 b=5.422 c=5.617 alpha=90.00 beta=90.00 gamma=90.00
Atoms (fractional coordinates):
Sb  0.000  0.000  0.500
Sb  0.500  0.000  0.000
Tl  0.000  0.000  0.000
Cl  0.000  0.500  0.000
La  0.500  0.500  0.500

Computed properties:
SG: No. 123
Magnetic moment in μB/atom: 0.00
Raw total energy in eV per atom: -3.654

This record from Alexandria describes an optimized crystal structure of Tm2Al3Zn2. The functional is GGA-PBE.

Unit cell a=3.362 b=4.283 c=9.897 alpha=102.50 beta=90.00 gamma=90.00
Atoms (fractional coordinates):
Tm  0.000  0.844  0.687
Tm  0.000  0.156  0.313
Al  0.500  0.571  0.142
Al  0.500  0.429  0.858
Al  0.000  0.000  0.000
Zn  0.500  0.714  0.428
Zn  0.500  0.286  0.572

Computed properties:
SG: No. 65
Polymorph energy (0 for the lowest one) in meV/atom: 128
Magnetic moment in μB/atom: 0.00
E_form in kJ/mol of formula units: -165